DFT (meta-GGA SCAN) results for Ba2TaFe at its PBEsol-relaxed geometry.

## Properties
Crystal system: tetragonal
Formation enthalpy at 0 K: 1.39 eV per atom
Energy relative to the lowest polymorph listed for this composition: 42 meV/atom

```
4
Lattice="4.427 0.000 0.000 0.000 4.427 0.000 0.000 0.000 5.249" Properties=species:S:1:pos:R:3 pbc="T T T"
Ba 0.000 2.213 0.000
Ba 2.213 0.000 0.000
Ta 0.000 0.000 2.625
Fe 2.213 2.213 2.625
```